NaPaMnO6: relaxed, PBE+U.

Properties
Raw total energy in eV per atom: -7.2065
Total magnetic moment in μB/atom: 0.558

Unit cell a=5.3866 b=5.3866 c=4.6864 alpha=90.00 beta=90.00 gamma=120.00
Last column: nearest neighbours and their distance in Å.
Space group P312 (No. 149)
Symmetry-distinct sites (fractional):
Na1 0.0000 0.0000 0.0000 x1  6 O 2.33
Pa1 0.6667 0.3333 0.5000 x1  6 O 2.18
Mn1 0.3333 0.6667 0.0000 x1  6 O 1.92
O1 0.0226 0.3936 0.2306 x6  1 Mn 1.92